The following is a GGA-PBE calculation of a relaxed BaNi crystal, from Alexandria via LeMat-Bulk.

Computed properties:
total magnetization = 0.00 Bohr magnetons per cell
ΔE_f = 0.104 eV per atom
total energy = -3.748 eV per atom
symmetry = P2_12_12_1

Cell lengths 7.8019, 6.5447, 9.2885 Å; angles 90.00, 90.00, 90.00 degrees
Fractional coordinates of all 16 atoms:
Ba1 0.8600 0.1322 0.2295
Ba2 0.3600 0.3678 0.7705
Ba3 0.1400 0.6322 0.2705
Ba4 0.6400 0.8678 0.7295
Ba5 0.1037 0.8917 0.8791
Ba6 0.6037 0.6083 0.1209
Ba7 0.8963 0.3917 0.6209
Ba8 0.3963 0.1083 0.3791
Ni1 0.2264 0.2449 0.0765
Ni2 0.7264 0.2551 0.9235
Ni3 0.7736 0.7449 0.4235
Ni4 0.2736 0.7551 0.5765
Ni5 0.5085 0.5895 0.4677
Ni6 0.0085 0.9105 0.5323
Ni7 0.4915 0.0895 0.0323
Ni8 0.9915 0.4105 0.9677